## Li2PrThAu4 (GGA-PBE)

Data for a relaxed structure of Li2PrThAu4.

Properties
DOS at the Fermi energy: 0.643 states/eV/atom
DFT total energy: -0.3140 Ry per atom
M_tot: 0.00 Bohr magnetons per cell
ΔH_f (0 K): -0.630 eV per atom
theoretical density: 11.0 Mg/m³

a = 5.1343 Å, b = 5.1343 Å, c = 8.3436 Å
α = 72.08°, β = 72.08°, γ = 60.00°
Last column: nearest neighbours and their distance in Å.
Atoms (fractional coordinates):
Li  0.7484  0.7484  0.7548  2 Au 2.73-2.76
Li  0.2516  0.2516  0.2452  2 Au 2.73-2.76
Pr  0.0000  0.0000  0.0000  8 Au 3.08-3.15
Th  0.5000  0.5000  0.5000  8 Au 3.05-3.06
Au  0.3697  0.3697  0.8909  1 Li 2.76, 1 Th 3.05, 3 Pr 3.08
Au  0.8652  0.8652  0.4043  1 Li 2.73, 3 Th 3.06
Au  0.1348  0.1348  0.5957  1 Li 2.73, 3 Th 3.06
Au  0.6303  0.6303  0.1091  1 Li 2.76, 1 Th 3.05, 3 Pr 3.08